# 1
A relaxed BaMgSe2N crystal, computed with PBE-GGA.

As for the uncorrected formation energy: -438 meV/atom. Its uncorrected energy is -4.20 eV/atom. The value obtained for the energy above the most stable polymorph in this dataset is 0.00 kJ per mole of atoms.

Unit cell a=5.356 b=5.356 c=4.321 alpha=90.00 beta=90.00 gamma=90.00
Each line ends with the local moment (μB).
Fractional coordinates of all 5 atoms:
Mg 0.000 0.000 0.000  -0.01
Ba 0.500 0.500 0.500  0.01
Se 0.000 0.500 0.000  0.29
Se 0.500 0.000 0.000  0.29
N 0.000 0.000 0.500  1.27



# 2
A relaxed BaMgSe2N crystal, computed with PBE-GGA.

As for the uncorrected formation energy: 663 meV/atom. Its uncorrected energy is -3.10 eV/atom. The value obtained for the energy above the most stable polymorph in this dataset is 106.18 kJ per mole of atoms.

Unit cell a=6.086 b=6.086 c=5.097 alpha=90.00 beta=90.00 gamma=90.00
Each line ends with the local moment (μB).
Fractional coordinates of all 5 atoms:
Mg 0.500 0.500 0.500  0.00
Ba 0.000 0.000 0.000  0.04
Se 0.000 0.500 0.000  0.08
Se 0.500 0.000 0.000  0.08
N 0.000 0.000 0.500  1.45



# 3
A relaxed Ba4MgSi2N6 crystal, computed with PBE-GGA.

As for the uncorrected formation energy: -922 meV/atom. Its uncorrected energy is -6.31 eV/atom.

Unit cell a=11.798 b=11.047 c=6.995 alpha=78.13 beta=66.40 gamma=35.47
Fractional coordinates of all 26 atoms:
Ba 0.850 0.850 0.150
Ba 0.150 0.150 0.850
Ba 0.400 0.400 0.100
Ba 0.100 0.100 0.400
Ba 0.669 0.669 0.331
Ba 0.331 0.331 0.669
Ba 0.581 0.581 0.919
Ba 0.919 0.919 0.581
Mg 0.500 0.500 0.500
Mg 0.750 0.750 0.750
Si 0.842 0.158 0.158
Si 0.158 0.842 0.842
Si 0.408 0.092 0.092
Si 0.092 0.408 0.408
N 0.783 0.353 0.225
N 0.639 0.225 0.353
N 0.225 0.639 0.783
N 0.353 0.783 0.639
N 0.467 0.897 0.025
N 0.611 0.025 0.897
N 0.025 0.611 0.467
N 0.897 0.467 0.611
N 0.885 0.115 0.885
N 0.115 0.885 0.115
N 0.365 0.135 0.365
N 0.135 0.365 0.135



# 4
A relaxed Ba2SrMgN crystal, computed with PBE-GGA.

As for the uncorrected formation energy: -193 meV/atom. Its uncorrected energy is -3.28 eV/atom.

Unit cell a=5.760 b=5.760 c=5.317 alpha=90.00 beta=90.00 gamma=90.00
Fractional coordinates of all 5 atoms:
Sr 0.000 0.000 0.500
Mg 0.500 0.500 0.500
Ba 0.000 0.500 0.000
Ba 0.500 0.000 0.000
N 0.000 0.000 0.000



# 5
A relaxed BaSr2MgN crystal, computed with PBE-GGA.

As for the uncorrected formation energy: -235 meV/atom. Its uncorrected energy is -3.28 eV/atom.

Unit cell a=5.345 b=5.345 c=5.806 alpha=90.00 beta=90.00 gamma=90.00
Fractional coordinates of all 5 atoms:
Sr 0.000 0.500 0.000
Sr 0.500 0.000 0.000
Mg 0.500 0.500 0.500
Ba 0.000 0.000 0.500
N 0.000 0.000 0.000



# 6
A relaxed Ba2MgTaN4 crystal, computed with PBE-GGA.

As for the uncorrected formation energy: -798 meV/atom. Its uncorrected energy is -7.12 eV/atom.

Unit cell a=6.203 b=6.489 c=7.534 alpha=90.00 beta=90.00 gamma=90.00
Each line ends with the local moment (μB).
Fractional coordinates of all 16 atoms:
Ba 0.500 0.246 0.250  0.01
Ba 0.500 0.246 0.750  0.01
Ba 0.000 0.754 0.750  0.01
Ba 0.000 0.754 0.250  0.01
Mg 0.000 0.199 0.500  0.00
Mg 0.500 0.801 0.000  0.00
Ta 0.500 0.806 0.500  -0.06
Ta 0.000 0.194 0.000  -0.06
N 0.246 0.011 0.000  0.11
N 0.746 0.989 0.500  0.11
N 0.255 0.990 0.500  0.11
N 0.755 0.010 0.000  0.11
N 0.500 0.665 0.735  0.24
N 0.000 0.335 0.235  0.24
N 0.000 0.335 0.765  0.24
N 0.500 0.665 0.265  0.24



# 7
A relaxed BaMgTaN3 crystal, computed with PBE-GGA.

As for the uncorrected formation energy: -1082 meV/atom. Its uncorrected energy is -7.81 eV/atom.

Unit cell a=5.752 b=5.801 c=6.138 alpha=118.20 beta=90.00 gamma=90.00
Fractional coordinates of all 12 atoms:
Ba 0.750 0.260 0.520
Ba 0.250 0.740 0.480
Mg 0.250 0.435 0.869
Mg 0.750 0.565 0.131
Ta 0.250 0.058 0.116
Ta 0.750 0.942 0.884
N 0.250 0.235 0.469
N 0.000 0.239 0.000
N 0.500 0.761 0.000
N 0.500 0.239 0.000
N 0.000 0.761 0.000
N 0.750 0.765 0.531



# 8
A relaxed BaMgTcN3 crystal, computed with PBE-GGA.

As for the uncorrected formation energy: -276 meV/atom. Its uncorrected energy is -6.75 eV/atom.

Unit cell a=3.936 b=6.654 c=7.875 alpha=106.55 beta=90.00 gamma=107.20
Fractional coordinates of all 12 atoms:
Ba 0.354 0.709 0.906
Ba 0.646 0.291 0.094
Mg 0.663 0.326 0.526
Mg 0.337 0.674 0.474
Tc 0.996 0.992 0.322
Tc 0.004 0.008 0.678
N 0.862 0.724 0.158
N 0.836 0.672 0.630
N 0.504 0.008 0.326
N 0.164 0.328 0.370
N 0.496 0.992 0.674
N 0.138 0.276 0.842



| no. | M_tot (μB per formula unit) |
| --- | --- |
| 1 | 2.830 |
| 2 | 2.501 |
| 3 | 0.000 |
| 4 | 0.022 |
| 5 | 0.000 |
| 6 | 0.961 |
| 7 | 0.000 |
| 8 | 0.000 |